A geometry-optimized Na3Ga2NiO6 structure, computed with PBE+U.

Values from the calculation:
* uncorrected energy: -61.24 eV per cell

Cell: 5.251 5.251 5.613 Å, 98.22 98.22 121.32°
Fractional coordinates of all 12 atoms:
Na: 0.000 0.000 0.000
Na: 0.335 0.665 0.000
Na: 0.665 0.335 0.000
Ga: 0.170 0.830 0.500
Ga: 0.830 0.170 0.500
Ni: 0.500 0.500 0.500
O: 0.094 0.429 0.298
O: 0.243 0.243 0.690
O: 0.429 0.094 0.298
O: 0.571 0.906 0.702
O: 0.757 0.757 0.310
O: 0.906 0.571 0.702